{
  "formula": "SrLaMo2",
  "functional": "GGA-PBE",
  "state": "relaxed",
  "lattice_angstrom": [[-6.963, -2.725, 3.530], [-3.381, -1.042, -7.474], [-4.158, -4.582, -2.054]],
  "species": ["Mo", "La", "Mo", "Sr", "Sr", "Mo", "La", "Mo"],
  "fractional_positions": [[0.875, 0.891, 0.750], [0.750, 0.250, 0.500], [0.641, 0.125, 0.250], [0.250, 0.750, 0.500], [0.500, 0.500, 0.000], [0.375, 0.359, 0.750], [0.000, 0.000, 0.000], [0.109, 0.625, 0.250]],
  "mass_density_g_cm3": 7.05,
  "m_tot_mub_per_fu": 0.00,
  "ef_ev_per_fu": 5.83,
  "crystal_system": "tetragonal",
  "e_tot_ev_per_atom": -5.611
}